The following is a DFT calculation (PBE-GGA) of Na12CaTl7 after structural relaxation.

The structure belongs to space group R-3 (No. 148, hexagonal axes); the cell edges are 14.6229, 14.6229 and 10.3276 Å and the angles 90.00°, 90.00° and 120.00°. Symmetry generates all atoms from Na at (0.0338, 0.2543, 0.4146), Na at (0.0731, 0.5883, 0.6272), Ca at (0.0000, 0.0000, 0.5000), Tl at (0.0000, 0.0000, 0.0000) and Tl at (0.0011, 0.1391, 0.7453).

Its formation energy is -0.093 eV/atom.

---

The following is a DFT calculation (PBE-GGA) of Na3TmTl12 after structural relaxation.

The structure belongs to space group P4/mmm (No. 123); the cell edges are 4.8574, 4.8574 and 19.2304 Å and the angles 90.00°, 90.00° and 90.00°. Symmetry generates all atoms from Na at (0.0000, 0.0000, 0.0000), Na at (0.0000, 0.0000, 0.2555), Tm at (0.0000, 0.0000, 0.5000), Tl at (0.0000, 0.5000, 0.1252), Tl at (0.0000, 0.5000, 0.3789), Tl at (0.5000, 0.5000, 0.0000), Tl at (0.5000, 0.5000, 0.2515) and Tl at (0.5000, 0.5000, 0.5000).

Its formation energy is -0.080 eV/atom.

---

The following is a DFT calculation (PBE-GGA) of CoTeW after structural relaxation.

The structure belongs to space group I4mm (No. 107); the cell edges are 3.2370, 3.2370 and 9.2855 Å and the angles 90.00°, 90.00° and 90.00°. Symmetry generates all atoms from Co at (0.0000, 0.0000, 0.0000), Te at (0.0000, 0.0000, 0.6667) and W at (0.0000, 0.0000, 0.3445).

For the distance to the lowest polymorph of the same formula, the calculation gives 13 meV per atom.